First-principles (PBE-GGA) data for ReTc2W after structural relaxation, as listed in the Alexandria database.

Calculated values
**Energy relative to the lowest polymorph listed for this composition**: 1608 meV/atom
**Energy of formation from the pure elements**: 166 kJ/mol of atoms

a = 5.660 Å, b = 5.660 Å, c = 11.272 Å
α = 90.00°, β = 90.00°, γ = 90.00°
Space group I-42d (No. 122)
Inequivalent atoms, fractional coordinates:
Re (0.000, 0.000, 0.000) x4
Tc (0.243, 0.250, 0.125) x8
W (0.000, 0.000, 0.500) x4